No. 1
PBE-GGA LiP2H8, relaxed; V = 118.81 Å³ per cell; DOS at the Fermi energy = 1.688 states/eV per cell; SG = C2/m, No. 12; E_tot = -3.53 eV per atom
1.0
2.923 -3.079 0.000
2.923 3.079 0.000
-0.225 0.000 6.601
Li P H
1 2 8
Cartesian
0.000 0.000 0.000
0.877 0.000 4.252
4.744 0.000 2.349
2.642 2.032 1.785
2.979 2.032 4.817
1.924 0.000 0.169
2.031 0.000 0.942
3.590 0.000 5.660
3.697 0.000 6.432
2.642 -2.032 1.785
2.979 -2.032 4.817



No. 2
PBE-GGA NbZn2Ga2, relaxed; V = 81.16 Å³ per cell; formation enthalpy at 0 K = 105 meV per atom; DOS at the Fermi energy = 3.220 states/eV per cell; SG = I4/mmm, No. 139; E_tot = -3.63 eV per atom
1.0
-1.880 1.880 5.743
1.880 -1.880 5.743
1.880 1.880 -5.743
Nb Zn Ga
1 2 2
Cartesian
0.000 0.000 0.000
1.880 0.000 2.871
0.000 1.880 2.871
0.000 0.000 4.571
0.000 0.000 6.914



Computed spin magnetization (Bohr magnetons per cell) in order:
0.00 0.00